1.
# GGA-PBE CdSi2Os, optimized geometry
data_CdSi2Os
_space_group_name_H-M_alt 'P 1'
_space_group_IT_number 1
_space_group_name_Hall 'P 1'
_cell_length_a 8.401
_cell_length_b 8.401
_cell_length_c 8.401
_cell_angle_alpha 20.78
_cell_angle_beta 20.78
_cell_angle_gamma 20.78
loop_
_atom_site_label
_atom_site_fract_x
_atom_site_fract_y
_atom_site_fract_z
_atom_site_occupancy
Cd1 0.250 0.250 0.250 1
Os1 0.750 0.750 0.750 1
Si1 0.012 0.012 0.012 1
Si2 0.488 0.488 0.488 1
# **SG**: No. 166
# **Crystal system**: trigonal
# **Formation energy (no corrections)**: 11 kJ per mole of atoms
# **Total moment**: 0.00 μB per atom

2.
# GGA-PBE CsIn2GaRu, optimized geometry
data_CsIn2GaRu
_space_group_name_H-M_alt 'P 1'
_space_group_IT_number 1
_space_group_name_Hall 'P 1'
_cell_length_a 5.299
_cell_length_b 5.299
_cell_length_c 5.002
_cell_angle_alpha 90.00
_cell_angle_beta 90.00
_cell_angle_gamma 90.00
loop_
_atom_site_label
_atom_site_fract_x
_atom_site_fract_y
_atom_site_fract_z
_atom_site_occupancy
Cs1 0.500 0.500 0.500 1
Ru1 0.000 0.000 0.000 1
Ga1 0.000 0.000 0.500 1
In1 0.000 0.500 0.000 1
In2 0.500 0.000 0.000 1
# **Calculated formation energy**: -0.139 eV/atom
# **SG**: No. 123
# **Crystal system**: tetragonal
# **Total moment**: 0.00 μB per atom

3.
# GGA-PBE PmSc2GaAu4, optimized geometry
data_PmSc2GaAu4
_space_group_name_H-M_alt 'P 1'
_space_group_IT_number 1
_space_group_name_Hall 'P 1'
_cell_length_a 4.712
_cell_length_b 4.712
_cell_length_c 9.144
_cell_angle_alpha 75.07
_cell_angle_beta 75.07
_cell_angle_gamma 60.00
loop_
_atom_site_label
_atom_site_fract_x
_atom_site_fract_y
_atom_site_fract_z
_atom_site_occupancy
Pm1 0.000 0.000 0.000 1
Sc1 0.764 0.764 0.707 1
Sc2 0.236 0.236 0.293 1
Ga1 0.500 0.500 0.500 1
Au1 0.394 0.394 0.818 1
Au2 0.878 0.878 0.365 1
Au3 0.122 0.122 0.635 1
Au4 0.606 0.606 0.182 1
# **Calculated formation energy**: -0.684 eV/atom
# **SG**: No. 166
# **Crystal system**: trigonal
# **Total moment**: 0.00 μB per atom

4.
# GGA-PBE TaAsCl2, optimized geometry
data_TaAsCl2
_space_group_name_H-M_alt 'P 1'
_space_group_IT_number 1
_space_group_name_Hall 'P 1'
_cell_length_a 4.554
_cell_length_b 4.083
_cell_length_c 4.083
_cell_angle_alpha 90.00
_cell_angle_beta 90.00
_cell_angle_gamma 90.00
loop_
_atom_site_label
_atom_site_fract_x
_atom_site_fract_y
_atom_site_fract_z
_atom_site_occupancy
As1 0.500 0.000 0.500 1
Cl1 0.000 0.000 0.000 1
Cl2 0.000 0.500 0.500 1
Ta1 0.500 0.500 0.000 1
# **SG**: No. 123
# **Crystal system**: tetragonal
# **Formation energy (no corrections)**: 57 kJ per mole of atoms
# **Total moment**: 0.32 μB per atom